AcBiAsSe: relaxed, GGA-PBE.

```
data_AcBiAsSe
_chemical_formula_sum 'Ac2 Bi2 As2 Se2'
_cell_length_a 5.501
_cell_length_b 5.501
_cell_length_c 8.247
_cell_angle_alpha 90.00
_cell_angle_beta 90.00
_cell_angle_gamma 90.00
_space_group_name_H-M_alt 'P 1'
_space_group_IT_number 1
loop_
_space_group_symop_operation_xyz
'x,y,z'
loop_
_atom_site_label
_atom_site_type_symbol
_atom_site_fract_x
_atom_site_fract_y
_atom_site_fract_z
As1 As 0.500 0.000 0.129
Bi1 Bi 0.000 0.000 0.000
As2 As 0.000 0.500 0.871
Ac1 Ac 0.000 0.500 0.328
Ac2 Ac 0.500 0.000 0.672
Se1 Se 0.500 0.500 0.500
Bi2 Bi 0.500 0.500 0.000
Se2 Se 0.000 0.000 0.500
```

Computed properties:
As for the space group: P4/nmm. The raw formation energy comes out at -0.906 eV/atom. Its density of states at the Fermi level is 1.87 states/eV/cell.